1.
The following is a DFT calculation (GGA-PBE) of a relaxed RbNa3Be crystal.

Lattice parameters (Å, degrees): 5.782 5.782 5.782 90.00 90.00 90.00
Sites, in units of the cell vectors:
Na (0.000, 0.500, 0.000)
Na (0.000, 0.000, 0.500)
Na (0.500, 0.000, 0.000)
Rb (0.500, 0.500, 0.500)
Be (0.000, 0.000, 0.000)

- E: -1.31 eV/atom
- DFT formation energy: 0.421 eV per atom
- SG: Pm-3m, No. 221
- E above lowest polymorph: 0.0 meV/atom

2.
The following is a DFT calculation (GGA-PBE) of a relaxed SrTc2P crystal.

Lattice parameters (Å, degrees): 3.532 4.883 5.621 69.47 90.00 90.00
Sites, in units of the cell vectors:
Sr (0.500, 0.500, 0.000)
Tc (0.000, 0.246, 0.594)
Tc (0.000, 0.754, 0.406)
P (0.500, 0.000, 0.500)

- E: -6.92 eV/atom
- DFT formation energy: 0.036 eV per atom
- SG: P2/m, No. 10
- E above lowest polymorph: 307.5 meV/atom

3.
The following is a DFT calculation (GGA-PBE) of a relaxed Cs2PNCl6 crystal.

Lattice parameters (Å, degrees): 7.400 7.400 7.416 60.07 60.07 90.00
Site moments in Bohr magnetons follow the coordinates.
Sites, in units of the cell vectors:
Cs (0.750, 0.250, 0.500)  0.00
Cs (0.250, 0.750, 0.500)  0.00
P (0.000, 0.000, 0.000)  -0.14
N (0.500, 0.500, 0.000)  1.75
Cl (0.219, 0.219, 0.562)  -0.06
Cl (0.781, 0.781, 0.438)  -0.06
Cl (0.220, 0.220, 0.000)  -0.06
Cl (0.780, 0.780, 0.000)  -0.06
Cl (0.780, 0.220, 0.000)  -0.06
Cl (0.220, 0.780, 0.000)  -0.06

- E: -3.25 eV/atom
- Energy relative to the elements, uncorrected: -0.5952 eV/atom
- SG: I4/mmm, No. 139

4.
The following is a DFT calculation (GGA-PBE) of a relaxed SnSb3Pt12 crystal.

Lattice parameters (Å, degrees): 3.998 4.027 17.458 97.80 82.20 90.07
Sites, in units of the cell vectors:
Sn (0.982, 0.016, 0.001)
Sb (0.830, 0.169, 0.257)
Sb (0.201, 0.836, 0.488)
Sb (0.106, 0.874, 0.755)
Pt (0.485, 0.513, 0.999)
Pt (0.344, 0.643, 0.234)
Pt (0.685, 0.411, 0.509)
Pt (0.655, 0.374, 0.759)
Pt (0.413, 0.083, 0.119)
Pt (0.259, 0.245, 0.379)
Pt (0.615, 0.827, 0.645)
Pt (0.551, 0.945, 0.878)
Pt (0.913, 0.585, 0.118)
Pt (0.769, 0.742, 0.364)
Pt (0.131, 0.289, 0.616)
Pt (0.060, 0.448, 0.880)

- E: -5.80 eV/atom
- Energy relative to the elements, uncorrected: -0.2451 eV/atom
- SG: P1, No. 1

5.
The following is a DFT calculation (GGA-PBE) of a relaxed Li2ZrCu crystal.

Lattice parameters (Å, degrees): 9.544 9.544 9.544 17.48 17.48 17.48
Sites, in units of the cell vectors:
Cu (0.750, 0.750, 0.750)
Li (0.013, 0.013, 0.013)
Li (0.487, 0.487, 0.487)
Zr (0.250, 0.250, 0.250)

- E: -3.96 eV/atom
- DFT formation energy: 0.155 eV per atom
- SG: R-3m, No. 166
- E above lowest polymorph: 95.7 meV/atom

6.
The following is a DFT calculation (GGA-PBE) of a relaxed SrLi2AgGe crystal.

Lattice parameters (Å, degrees): 4.977 4.977 4.952 90.00 90.00 90.00
Sites, in units of the cell vectors:
Sr (0.500, 0.500, 0.500)
Ge (0.000, 0.000, 0.500)
Ag (0.000, 0.000, 0.000)
Li (0.000, 0.500, 0.000)
Li (0.500, 0.000, 0.000)

- E: -2.72 eV/atom
- DFT formation energy: -0.124 eV per atom
- SG: P4/mmm, No. 123

7.
The following is a DFT calculation (GGA-PBE) of a relaxed Nd6Os2AuI3 crystal.

Lattice parameters (Å, degrees): 7.376 7.376 8.507 98.30 98.30 120.00
Sites, in units of the cell vectors:
Nd (0.937, 0.580, 0.813)
Nd (0.705, 0.705, 0.187)
Nd (0.063, 0.420, 0.187)
Nd (0.580, 0.937, 0.813)
Nd (0.295, 0.295, 0.813)
Nd (0.420, 0.063, 0.187)
Os (0.333, 0.667, 0.000)
Os (0.667, 0.333, 0.000)
Au (0.000, 0.000, 0.000)
I (0.166, 0.834, 0.500)
I (0.834, 0.166, 0.500)
I (0.500, 0.500, 0.500)

- E: -5.62 eV/atom
- Energy relative to the elements, uncorrected: -0.7048 eV/atom
- SG: C2/m, No. 12

8.
The following is a DFT calculation (GGA-PBE) of a relaxed BeRu2Au crystal.

Lattice parameters (Å, degrees): 4.504 5.297 2.742 76.42 86.76 114.24
Sites, in units of the cell vectors:
Ru (0.000, 0.000, 0.000)
Ru (0.500, 0.000, 0.500)
Au (0.000, 0.500, 0.500)
Be (0.500, 0.500, 0.000)

- E: -5.99 eV/atom
- DFT formation energy: 0.401 eV per atom
- SG: C2/m, No. 12

9.
The following is a DFT calculation (GGA-PBE) of a relaxed Cd2SeO4 crystal.

Lattice parameters (Å, degrees): 7.227 5.549 7.589 90.00 119.29 90.00
Sites, in units of the cell vectors:
Cd (0.685, 0.750, 0.091)
Cd (0.315, 0.250, 0.909)
Cd (0.982, 0.250, 0.359)
Cd (0.018, 0.750, 0.641)
Se (0.285, 0.750, 0.173)
Se (0.715, 0.250, 0.827)
O (0.441, 0.519, 0.164)
O (0.060, 0.750, 0.937)
O (0.940, 0.250, 0.063)
O (0.441, 0.981, 0.164)
O (0.014, 0.250, 0.642)
O (0.559, 0.019, 0.836)
O (0.559, 0.481, 0.836)
O (0.986, 0.750, 0.358)

- E: -4.43 eV/atom
- Energy relative to the elements, uncorrected: -0.8394 eV/atom
- SG: P2_1/m, No. 11

10.
The following is a DFT calculation (GGA-PBE) of a relaxed Ac4In2Co crystal.

Lattice parameters (Å, degrees): 5.447 5.447 9.400 106.84 106.84 90.00
Sites, in units of the cell vectors:
Ac (0.826, 0.826, 0.651)
Ac (0.174, 0.174, 0.349)
Ac (0.000, 0.500, 0.000)
Ac (0.500, 0.000, 0.000)
Co (0.000, 0.000, 0.000)
In (0.633, 0.633, 0.266)
In (0.367, 0.367, 0.734)

- E: -4.34 eV/atom
- DFT formation energy: -0.195 eV per atom
- SG: I4/mmm, No. 139
- E above lowest polymorph: 27.6 meV/atom

11.
The following is a DFT calculation (GGA-PBE) of a relaxed TbPbS2O8 crystal.

Lattice parameters (Å, degrees): 5.463 5.463 8.900 96.54 96.54 60.92
Site moments in Bohr magnetons follow the coordinates.
Sites, in units of the cell vectors:
Tb (0.000, 0.000, 0.000)  0.00
Pb (0.000, 0.000, 0.500)  0.35
S (0.682, 0.682, 0.209)  0.00
S (0.318, 0.318, 0.791)  0.00
O (0.627, 0.190, 0.829)  0.00
O (0.801, 0.801, 0.112)  0.00
O (0.739, 0.739, 0.370)  0.01
O (0.261, 0.261, 0.630)  0.01
O (0.199, 0.199, 0.888)  0.00
O (0.190, 0.627, 0.829)  0.00
O (0.810, 0.373, 0.171)  0.00
O (0.373, 0.810, 0.171)  0.00

- E: -6.44 eV/atom
- Energy relative to the elements, uncorrected: -1.7549 eV/atom
- SG: C2/m, No. 12

12.
The following is a DFT calculation (GGA-PBE) of a relaxed AcCd4Pd crystal.

Lattice parameters (Å, degrees): 5.899 5.899 5.899 60.00 60.00 60.00
Sites, in units of the cell vectors:
Ac (0.250, 0.250, 0.250)
Pd (0.000, 0.000, 0.000)
Cd (0.626, 0.626, 0.121)
Cd (0.626, 0.121, 0.626)
Cd (0.626, 0.626, 0.626)
Cd (0.121, 0.626, 0.626)

- E: -2.34 eV/atom
- DFT formation energy: -0.185 eV per atom
- SG: F-43m, No. 216
- E above lowest polymorph: 188.1 meV/atom

13.
The following is a DFT calculation (GGA-PBE) of a relaxed RbTc2Se2 crystal.

Lattice parameters (Å, degrees): 8.343 8.343 3.081 90.00 90.00 90.00
Site moments in Bohr magnetons follow the coordinates.
Sites, in units of the cell vectors:
Se (0.144, 0.644, 0.500)  -0.02
Se (0.644, 0.856, 0.500)  -0.02
Se (0.856, 0.356, 0.500)  -0.02
Se (0.356, 0.144, 0.500)  -0.02
Tc (0.394, 0.894, 0.000)  0.51
Tc (0.894, 0.606, 0.000)  0.50
Tc (0.606, 0.106, 0.000)  0.51
Tc (0.106, 0.394, 0.000)  0.50
Rb (0.000, 0.000, 0.000)  0.01
Rb (0.500, 0.500, 0.000)  0.01

- E: -5.33 eV/atom
- Energy relative to the elements, uncorrected: 0.4028 eV/atom
- SG: P4/mbm, No. 127
- E above lowest polymorph: 330.9 meV/atom

14.
The following is a DFT calculation (GGA-PBE) of a relaxed V2CrH crystal.

Lattice parameters (Å, degrees): 3.978 3.978 3.978 60.00 60.00 60.00
Sites, in units of the cell vectors:
Cr (0.500, 0.500, 0.500)
V (0.250, 0.250, 0.250)
V (0.750, 0.750, 0.750)
H (0.000, 0.000, 0.000)

- E: -7.23 eV/atom
- SG: Fm-3m, No. 225
- E above lowest polymorph: 689.9 meV/atom

15.
The following is a DFT calculation (GGA-PBE) of a relaxed SiGeN2F crystal.

Lattice parameters (Å, degrees): 3.830 3.830 3.830 90.00 90.00 90.00
Site moments in Bohr magnetons follow the coordinates.
Sites, in units of the cell vectors:
Ge (0.000, 0.000, 0.000)  0.00
N (0.000, 0.500, 0.000)  0.07
N (0.500, 0.000, 0.000)  0.07
Si (0.500, 0.500, 0.500)  0.00
F (0.000, 0.000, 0.500)  0.00

- E: -5.25 eV/atom
- Energy relative to the elements, uncorrected: 0.4628 eV/atom
- SG: P4/mmm, No. 123
- E above lowest polymorph: 722.4 meV/atom

16.
The following is a DFT calculation (GGA-PBE) of a relaxed GdGa2Sn crystal.

Lattice parameters (Å, degrees): 4.668 4.668 5.662 65.66 65.66 60.00
Site moments in Bohr magnetons follow the coordinates.
Sites, in units of the cell vectors:
Gd (0.500, 0.500, 0.500)  7.00
Sn (0.000, 0.000, 0.000)  -0.01
Ga (0.731, 0.731, 0.807)  0.00
Ga (0.269, 0.269, 0.193)  0.00

- E: -6.33 eV/atom
- DFT formation energy: -0.291 eV per atom
- SG: R-3m, No. 166
- E above lowest polymorph: 215.5 meV/atom

17.
The following is a DFT calculation (GGA-PBE) of a relaxed NaCa3Pb crystal.

Lattice parameters (Å, degrees): 5.814 5.814 5.814 90.00 90.00 90.00
Sites, in units of the cell vectors:
Pb (0.500, 0.500, 0.500)
Na (0.000, 0.000, 0.000)
Ca (0.000, 0.500, 0.000)
Ca (0.000, 0.000, 0.500)
Ca (0.500, 0.000, 0.000)

- E: -1.86 eV/atom
- DFT formation energy: 0.345 eV per atom
- SG: Pm-3m, No. 221
- E above lowest polymorph: 435.4 meV/atom

18.
The following is a DFT calculation (GGA-PBE) of a relaxed Cs2CaZnIr crystal.

Lattice parameters (Å, degrees): 7.348 5.017 7.348 90.00 90.00 90.00
Sites, in units of the cell vectors:
Cs (0.000, 0.000, 0.500)
Cs (0.500, 0.000, 0.000)
Zn (0.500, 0.500, 0.500)
Ir (0.000, 0.500, 0.000)
Ca (0.000, 0.000, 0.000)

- E: -2.04 eV/atom
- DFT formation energy: 0.731 eV per atom
- SG: P4/mmm, No. 123
- E above lowest polymorph: 69.5 meV/atom

19.
The following is a DFT calculation (GGA-PBE) of a relaxed CaHoPa2N4 crystal.

Lattice parameters (Å, degrees): 4.918 4.918 6.053 113.97 113.97 90.00
Sites, in units of the cell vectors:
Ca (0.500, 0.500, 0.000)
Ho (0.750, 0.250, 0.500)
Pa (0.250, 0.750, 0.500)
Pa (0.000, 0.000, 0.000)
N (0.009, 0.509, 0.019)
N (0.491, 0.991, 0.981)
N (0.762, 0.762, 0.525)
N (0.238, 0.238, 0.475)

- E: -8.89 eV/atom
- Energy relative to the elements, uncorrected: -1.5318 eV/atom
- SG: I-4m2, No. 119

20.
The following is a DFT calculation (GGA-PBE) of a relaxed Th5Zn crystal.

Lattice parameters (Å, degrees): 4.849 4.924 7.923 108.10 90.00 90.00
Sites, in units of the cell vectors:
Zn (0.000, 0.000, 0.000)
Th (0.500, 0.839, 0.677)
Th (0.000, 0.662, 0.324)
Th (0.500, 0.500, 0.000)
Th (0.000, 0.338, 0.676)
Th (0.500, 0.161, 0.323)

- E: -6.35 eV/atom
- DFT formation energy: 0.047 eV per atom
- SG: Cmmm, No. 65

21.
The following is a DFT calculation (GGA-PBE) of a relaxed H2RhBr6 crystal.

Lattice parameters (Å, degrees): 6.429 8.999 8.999 76.77 88.45 88.45
Site moments in Bohr magnetons follow the coordinates.
Sites, in units of the cell vectors:
H (0.358, 0.567, 0.656)  0.00
H (0.142, 0.344, 0.433)  0.00
H (0.642, 0.433, 0.344)  0.00
H (0.858, 0.656, 0.567)  0.00
Rh (0.250, 0.087, 0.913)  0.27
Rh (0.750, 0.913, 0.087)  0.27
Br (0.361, 0.717, 0.551)  0.04
Br (0.139, 0.449, 0.283)  0.04
Br (0.639, 0.283, 0.449)  0.04
Br (0.861, 0.551, 0.717)  0.04
Br (0.885, 0.871, 0.346)  0.09
Br (0.615, 0.654, 0.129)  0.09
Br (0.115, 0.129, 0.654)  0.09
Br (0.385, 0.346, 0.871)  0.09
Br (0.081, 0.827, 0.976)  0.04
Br (0.419, 0.024, 0.173)  0.04
Br (0.919, 0.173, 0.024)  0.04
Br (0.581, 0.976, 0.827)  0.04

- E: -2.88 eV/atom
- SG: C2/c, No. 15

22.
The following is a DFT calculation (GGA-PBE) of a relaxed ScCd2Te crystal.

Lattice parameters (Å, degrees): 5.488 5.488 5.282 71.81 71.81 41.15
Sites, in units of the cell vectors:
Cd (0.001, 0.001, 0.943)
Cd (0.752, 0.752, 0.796)
Sc (0.511, 0.511, 0.417)
Te (0.236, 0.236, 0.344)

- E: -3.19 eV/atom
- Energy relative to the elements, uncorrected: -0.3597 eV/atom
- SG: Cm, No. 8

23.
The following is a DFT calculation (GGA-PBE) of a relaxed NdHo2Rh crystal.

Lattice parameters (Å, degrees): 3.682 3.682 10.761 80.15 80.15 60.00
Sites, in units of the cell vectors:
Rh (0.500, 0.500, 0.500)
Nd (0.000, 0.000, 0.000)
Ho (0.113, 0.113, 0.661)
Ho (0.887, 0.887, 0.339)

- E: -5.51 eV/atom
- DFT formation energy: -0.194 eV per atom
- SG: R-3m, No. 166
- E above lowest polymorph: 309.1 meV/atom

24.
The following is a DFT calculation (GGA-PBE) of a relaxed NdDy2Al crystal.

Lattice parameters (Å, degrees): 5.401 5.401 5.401 60.00 60.00 60.00
Site moments in Bohr magnetons follow the coordinates.
Sites, in units of the cell vectors:
Nd (0.500, 0.500, 0.500)  0.30
Al (0.000, 0.000, 0.000)  0.00
Dy (0.250, 0.250, 0.250)  0.27
Dy (0.750, 0.750, 0.750)  0.27

- E: -4.43 eV/atom
- DFT formation energy: 0.002 eV per atom
- SG: Fm-3m, No. 225
- E above lowest polymorph: 194.2 meV/atom

25.
The following is a DFT calculation (GGA-PBE) of a relaxed HoErCd2 crystal.

Lattice parameters (Å, degrees): 3.746 5.242 5.242 90.00 90.00 90.00
Sites, in units of the cell vectors:
Cd (0.000, 0.000, 0.500)
Cd (0.000, 0.500, 0.000)
Ho (0.500, 0.500, 0.500)
Er (0.500, 0.000, 0.000)

- E: -3.06 eV/atom
- DFT formation energy: -0.318 eV per atom
- SG: P4/mmm, No. 123
- E above lowest polymorph: 2.8 meV/atom